Run w
Computed, not measured: a geometry-optimized ErTm2Mg structure at the PBE-GGA level of DFT.

## Properties
The volume comes out at 229.1 Å³/cell. The symmetry is No. 69. The density of states at the Fermi level is 8.7 states/eV per cell.

a b c (Å): 9.892 9.890 4.978
angles (deg): 75.45 75.40 29.15
Fractional coordinates of all 8 atoms:
Er: 0.130 0.130 0.870
Er: 0.870 0.870 0.130
Tm: 0.000 0.000 0.500
Tm: 0.370 0.370 0.630
Tm: 0.500 0.500 0.000
Tm: 0.630 0.630 0.370
Mg: 0.250 0.250 0.250
Mg: 0.750 0.750 0.750

Run x
Computed, not measured: a geometry-optimized ErTm2Mg structure at the PBE-GGA level of DFT.

## Properties
The volume comes out at 115.8 Å³/cell. The symmetry is No. 160. The density of states at the Fermi level is 5.6 states/eV per cell.

a b c (Å): 11.520 11.520 11.520
angles (deg): 17.14 17.14 17.14
Fractional coordinates of all 4 atoms:
Er: 0.000 0.000 0.000
Tm: 0.417 0.417 0.417
Tm: 0.583 0.583 0.583
Mg: 0.167 0.167 0.167

Run y
Computed, not measured: a geometry-optimized ErTm2Mg structure at the PBE-GGA level of DFT.

## Properties
The volume comes out at 115.4 Å³/cell. The symmetry is No. 166. The density of states at the Fermi level is 4.9 states/eV per cell.

a b c (Å): 11.266 11.266 11.266
angles (deg): 17.70 17.70 17.70
Fractional coordinates of all 4 atoms:
Er: 0.000 0.000 0.000
Tm: 0.248 0.248 0.248
Tm: 0.752 0.752 0.752
Mg: 0.500 0.500 0.500

Run z
Computed, not measured: a geometry-optimized ErTm2Mg structure at the PBE-GGA level of DFT.

## Properties
The volume comes out at 113.5 Å³/cell. The symmetry is No. 225. The density of states at the Fermi level is 4.7 states/eV per cell.

a b c (Å): 5.434 5.434 5.434
angles (deg): 60.00 60.00 60.00
Fractional coordinates of all 4 atoms:
Er: 0.000 0.000 0.000
Tm: 0.250 0.250 0.250
Tm: 0.750 0.750 0.750
Mg: 0.500 0.500 0.500

It is run w that is most stable; the runner-up trails by 45 meV/atom.

Run w
Computed, not measured: a geometry-optimized ErTm2Mg structure at the PBE-GGA level of DFT.

## Properties
The volume comes out at 114.5 Å³/cell. The symmetry is No. 123. The density of states at the Fermi level is 4.8 states/eV per cell.

a b c (Å): 3.515 3.515 9.271
angles (deg): 90.00 90.00 90.00
Fractional coordinates of all 4 atoms:
Er: 0.000 0.000 0.000
Tm: 0.500 0.500 0.260
Tm: 0.500 0.500 0.740
Mg: 0.000 0.000 0.500

Run x
Computed, not measured: a geometry-optimized ErTm2Mg structure at the PBE-GGA level of DFT.

## Properties
The volume comes out at 114.3 Å³/cell. The symmetry is No. 123. The density of states at the Fermi level is 8.3 states/eV per cell.

a b c (Å): 4.849 4.849 4.861
angles (deg): 90.00 90.00 90.00
Fractional coordinates of all 4 atoms:
Er: 0.000 0.000 0.000
Tm: 0.000 0.500 0.500
Tm: 0.500 0.000 0.500
Mg: 0.500 0.500 0.000

It is run w that is most stable; the runner-up trails by 58 meV/atom.

Run w
Computed, not measured: a geometry-optimized Er4TmMg7 structure at the PBE-GGA level of DFT.

## Properties
The volume comes out at 315.3 Å³/cell. The symmetry is No. 164. The density of states at the Fermi level is 12.1 states/eV per cell.

a b c (Å): 5.269 5.269 13.116
angles (deg): 90.00 90.00 120.00
Fractional coordinates of all 12 atoms:
Er: 0.333 0.667 0.160
Er: 0.333 0.667 0.421
Er: 0.667 0.333 0.579
Er: 0.667 0.333 0.840
Tm: 0.000 0.000 0.000
Mg: 0.000 0.000 0.261
Mg: 0.000 0.000 0.500
Mg: 0.000 0.000 0.739
Mg: 0.333 0.667 0.681
Mg: 0.333 0.667 0.917
Mg: 0.667 0.333 0.083
Mg: 0.667 0.333 0.319

Run x
Computed, not measured: a geometry-optimized Er4TmMg7 structure at the PBE-GGA level of DFT.

## Properties
The volume comes out at 331.7 Å³/cell. The symmetry is No. 12. The density of states at the Fermi level is 12.6 states/eV per cell.

a b c (Å): 6.352 6.352 11.518
angles (deg): 112.86 112.86 52.36
Fractional coordinates of all 12 atoms:
Er: 0.069 0.069 0.322
Er: 0.338 0.338 0.221
Er: 0.662 0.662 0.779
Er: 0.931 0.931 0.678
Tm: 0.500 0.500 0.000
Mg: 0.000 0.000 0.000
Mg: 0.203 0.203 0.923
Mg: 0.246 0.246 0.679
Mg: 0.374 0.374 0.506
Mg: 0.626 0.626 0.494
Mg: 0.754 0.754 0.321
Mg: 0.797 0.797 0.077

It is run w that is most stable; the runner-up trails by 186 meV/atom.